1.
The following is a PBE calculation of a relaxed structure of Ho3TlHg, from the Alexandria database.

Computed properties:
Total moment   0.00 μB per formula unit
E_form   -0.164 eV/atom
E_tot   -0.2531 Ry/atom

Unit cell a=6.4140 b=8.8976 c=10.1757 alpha=90.00 beta=90.00 gamma=90.00
With the nearest neighbours (Å) after each atom.
Fractional coordinates of all 20 atoms:
Hg 0.0000 0.5000 0.5000  6 Ho 3.03-3.06, 2 Tl 3.29
Hg 0.5000 0.0000 0.0000  6 Ho 3.03-3.06, 2 Tl 3.29
Hg 0.0000 0.5000 0.0000  6 Ho 3.03-3.06, 2 Tl 3.29
Hg 0.5000 0.0000 0.5000  6 Ho 3.03-3.06, 2 Tl 3.29
Ho 0.1831 0.6374 0.2500  2 Hg 3.06, 2 Tl 3.12-3.34
Ho 0.3887 0.3214 0.4318  2 Hg 3.03-3.04, 1 Tl 3.11
Ho 0.6113 0.6786 0.5682  2 Hg 3.03-3.04, 1 Tl 3.11
Ho 0.1113 0.8214 0.5682  2 Hg 3.03-3.04, 1 Tl 3.11
Ho 0.8887 0.1786 0.0682  2 Hg 3.03-3.04, 1 Tl 3.11
Ho 0.6113 0.6786 0.9318  2 Hg 3.03-3.04, 1 Tl 3.11
Ho 0.3169 0.1374 0.7500  2 Hg 3.06, 2 Tl 3.12-3.34
Ho 0.1113 0.8214 0.9318  2 Hg 3.03-3.04, 1 Tl 3.11
Ho 0.6831 0.8626 0.2500  2 Hg 3.06, 2 Tl 3.12-3.34
Ho 0.8169 0.3626 0.7500  2 Hg 3.06, 2 Tl 3.12-3.34
Ho 0.3887 0.3214 0.0682  2 Hg 3.03-3.04, 1 Tl 3.11
Ho 0.8887 0.1786 0.4318  2 Hg 3.03-3.04, 1 Tl 3.11
Tl 0.1741 0.9881 0.2500  5 Ho 3.11-3.45, 2 Hg 3.29
Tl 0.6741 0.5119 0.2500  5 Ho 3.11-3.45, 2 Hg 3.29
Tl 0.3259 0.4881 0.7500  5 Ho 3.11-3.45, 2 Hg 3.29
Tl 0.8259 0.0119 0.7500  5 Ho 3.11-3.45, 2 Hg 3.29

2.
The following is a PBE calculation of a relaxed structure of Ho2TlHg3, from the Alexandria database.

Computed properties:
Total moment   0.00 μB per formula unit
E_form   -0.294 eV/atom
E_tot   -0.1739 Ry/atom

Unit cell a=6.3722 b=6.3788 c=8.8776 alpha=111.06 beta=111.03 gamma=90.00
With the nearest neighbours (Å) after each atom.
Fractional coordinates of all 12 atoms:
Hg 0.5000 0.7500 0.0000  6 Hg 3.18-3.19, 2 Tl 3.19, 4 Ho 3.28
Hg 0.6037 0.3535 0.7071  5 Ho 2.99-3.24, 2 Tl 3.18, 2 Hg 3.18
Hg 0.3963 0.6464 0.2929  5 Ho 2.99-3.24, 2 Tl 3.18, 2 Hg 3.18
Hg 0.8966 0.1464 0.2929  5 Ho 2.99-3.24, 2 Tl 3.18, 2 Hg 3.18
Hg 0.5000 0.2500 0.0000  6 Hg 3.18-3.19, 2 Tl 3.19, 4 Ho 3.28
Hg 0.1034 0.8536 0.7071  5 Ho 2.99-3.24, 2 Tl 3.18, 2 Hg 3.18
Ho 0.9005 0.6581 0.3162  7 Hg 2.99-3.28, 2 Tl 3.33
Ho 0.0995 0.3419 0.6838  7 Hg 2.99-3.28, 2 Tl 3.33
Ho 0.4157 0.1581 0.3162  7 Hg 2.99-3.28, 2 Tl 3.33
Ho 0.5843 0.8419 0.6838  7 Hg 2.99-3.28, 2 Tl 3.33
Tl 0.0000 0.7500 0.0000  6 Hg 3.18-3.19, 2 Tl 3.19, 4 Ho 3.33
Tl 0.0000 0.2500 0.0000  6 Hg 3.18-3.19, 2 Tl 3.19, 4 Ho 3.33

3.
The following is a PBE calculation of a relaxed structure of Ho5TlHg, from the Alexandria database.

Computed properties:
Total moment   0.00 μB per formula unit
E_form   -0.085 eV/atom
E_tot   -0.2746 Ry/atom

Unit cell a=5.9557 b=5.9557 c=11.8080 alpha=100.57 beta=100.57 gamma=87.59
With the nearest neighbours (Å) after each atom.
Fractional coordinates of all 14 atoms:
Ho 0.4883 0.0539 0.6394  1 Hg 3.07, 2 Tl 3.20-3.39, 3 Ho 3.26-3.39
Ho 0.4847 0.7656 0.0516  1 Hg 3.16, 3 Ho 3.18-3.51, 2 Tl 3.35-3.48
Ho 0.2344 0.5153 0.4484  1 Hg 3.16, 3 Ho 3.18-3.51, 2 Tl 3.35-3.48
Ho 0.9563 0.0437 0.2500  2 Hg 2.97, 1 Tl 3.10, 2 Ho 3.28
Ho 0.5117 0.9461 0.3606  1 Hg 3.07, 2 Tl 3.20-3.39, 3 Ho 3.26-3.39
Ho 0.9461 0.5117 0.8606  1 Hg 3.07, 2 Tl 3.20-3.39, 3 Ho 3.26-3.39
Ho 0.0437 0.9563 0.7500  2 Hg 2.97, 1 Tl 3.10, 2 Ho 3.28
Ho 0.0539 0.4883 0.1394  1 Hg 3.07, 2 Tl 3.20-3.39, 3 Ho 3.26-3.39
Ho 0.7656 0.4847 0.5516  1 Hg 3.16, 3 Ho 3.18-3.51, 2 Tl 3.35-3.48
Ho 0.5153 0.2344 0.9484  1 Hg 3.16, 3 Ho 3.18-3.51, 2 Tl 3.35-3.48
Tl 0.4202 0.5798 0.7500  7 Ho 3.10-3.39
Tl 0.5798 0.4202 0.2500  7 Ho 3.10-3.39
Hg 0.0000 0.0000 0.5000  6 Ho 2.97-3.16
Hg 0.0000 0.0000 0.0000  6 Ho 2.97-3.16